# PBE BeB2S, optimized geometry
data_BeB2S
_chemical_formula_sum 'Be2 B4 S2'
_cell_length_a 3.069
_cell_length_b 3.594
_cell_length_c 9.647
_cell_angle_alpha 92.15
_cell_angle_beta 98.12
_cell_angle_gamma 115.27
_space_group_name_H-M_alt 'P 1'
_space_group_IT_number 1
_space_group_name_Hall 'P 1'
loop_
_atom_site_label
_atom_site_type_symbol
_atom_site_fract_x
_atom_site_fract_y
_atom_site_fract_z
Be1 Be 0.000 0.000 0.000
Be2 Be 0.219 0.640 0.772
B1 B 0.008 0.372 0.596
B2 B 0.533 0.181 0.869
B3 B 0.672 0.675 0.625
B4 B 0.935 0.056 0.788
S1 S 0.733 0.404 0.070
S2 S 0.735 0.948 0.458
# **Uncorrected energy**: -43.01 eV per cell
# **Formation energy without anion corrections**: -0.07 eV/atom
# **Relative energy among the computed polymorphs**: 0.043 eV/atom
# **D(E_F)**: 1.177 states/eV per cell